Arrangement A

TlCuC2, relaxed, DFT PBE-GGA; calculated density = 8.143 g/cm³; magnetic moment = 0.0 μB/f.u.; space group = No. 122
1.0
-2.470 2.470 4.881
2.470 -2.470 4.881
2.470 2.470 -4.881
Tl Cu C
2 2 4
direct
0.000 0.000 0.000
0.750 0.250 0.500
0.250 0.750 0.500
0.500 0.500 0.000
0.206 0.625 0.081
0.375 0.456 0.581
0.544 0.125 0.919
0.875 0.794 0.419

---

Arrangement B

TlCuC2, relaxed, DFT PBE-GGA; calculated density = 9.610 g/cm³; magnetic moment = 0.0 μB/f.u.; space group = No. 225
1.0
0.000 2.933 2.933
2.933 0.000 2.933
2.933 2.933 0.000
Tl Cu C
1 1 2
direct
0.000 0.000 0.000
0.500 0.500 0.500
0.250 0.250 0.250
0.750 0.750 0.750

---

arrangement A takes first place; second place is 571 meV per atom up.

---

Arrangement A

VCuC3, relaxed, DFT PBE-GGA; calculated density = 4.271 g/cm³; magnetic moment = 0.0 μB/f.u.; space group = No. 221
1.0
3.882 0.000 0.000
0.000 3.882 0.000
0.000 0.000 3.882
V Cu C
1 1 3
direct
0.000 0.000 0.000
0.500 0.500 0.500
0.000 0.000 0.500
0.000 0.500 0.000
0.500 0.000 0.000

---

Arrangement B

VCuC3, relaxed, DFT PBE-GGA; calculated density = 4.692 g/cm³; magnetic moment = 2.3 μB/f.u.; space group = No. 221
1.0
3.763 0.000 0.000
0.000 3.763 0.000
0.000 0.000 3.763
V Cu C
1 1 3
direct
0.000 0.000 0.000
0.500 0.500 0.500
0.000 0.500 0.500
0.500 0.000 0.500
0.500 0.500 0.000

---

arrangement A takes first place; second place is 576 meV per atom up.

---

Arrangement A

CuWC2, relaxed, DFT PBE-GGA; calculated density = 11.739 g/cm³; magnetic moment = 0.0 μB/f.u.; space group = No. 225
1.0
0.000 2.678 2.678
2.678 0.000 2.678
2.678 2.678 0.000
Cu W C
1 1 2
direct
0.000 0.000 0.000
0.500 0.500 0.500
0.250 0.250 0.250
0.750 0.750 0.750

---

Arrangement B

CuWC2, relaxed, DFT PBE-GGA; calculated density = 8.973 g/cm³; magnetic moment = 0.0 μB/f.u.; space group = No. 122
1.0
-2.343 2.343 4.574
2.343 -2.343 4.574
2.343 2.343 -4.574
Cu W C
2 2 4
direct
0.000 0.000 0.000
0.750 0.250 0.500
0.250 0.750 0.500
0.500 0.500 0.000
0.137 0.625 0.012
0.375 0.387 0.512
0.613 0.125 0.988
0.875 0.863 0.488

---

arrangement B takes first place; second place is 604 meV per atom up.

---

Arrangement A

Cu3WC, relaxed, DFT PBE-GGA; calculated density = 10.854 g/cm³; magnetic moment = 0.0 μB/f.u.; space group = No. 221
1.0
3.896 0.000 0.000
0.000 3.896 0.000
0.000 0.000 3.896
Cu W C
3 1 1
direct
0.000 0.000 0.500
0.000 0.500 0.000
0.500 0.000 0.000
0.500 0.500 0.500
0.000 0.000 0.000

---

Arrangement B

Cu3WC, relaxed, DFT PBE-GGA; calculated density = 6.163 g/cm³; magnetic moment = 1.4 μB/f.u.; space group = No. 221
1.0
4.705 0.000 0.000
0.000 4.705 0.000
0.000 0.000 4.705
Cu W C
3 1 1
direct
0.000 0.000 0.500
0.000 0.500 0.000
0.500 0.000 0.000
0.000 0.000 0.000
0.500 0.500 0.500

---

arrangement A takes first place; second place is 1966 meV per atom up.

---

Arrangement A

ZnCuC3, relaxed, DFT PBE-GGA; calculated density = 4.719 g/cm³; magnetic moment = 0.0 μB/f.u.; space group = No. 221
1.0
3.872 0.000 0.000
0.000 3.872 0.000
0.000 0.000 3.872
Zn Cu C
1 1 3
direct
0.000 0.000 0.000
0.500 0.500 0.500
0.000 0.500 0.500
0.500 0.000 0.500
0.500 0.500 0.000

---

Arrangement B

ZnCuC3, relaxed, DFT PBE-GGA; calculated density = 4.522 g/cm³; magnetic moment = 0.0 μB/f.u.; space group = No. 221
1.0
3.928 0.000 0.000
0.000 3.928 0.000
0.000 0.000 3.928
Zn Cu C
1 1 3
direct
0.000 0.000 0.000
0.500 0.500 0.500
0.000 0.000 0.500
0.000 0.500 0.000
0.500 0.000 0.000

---

arrangement A takes first place; second place is 299 meV per atom up.

---

Arrangement A

ZnCu2C, relaxed, DFT PBE-GGA; calculated density = 7.630 g/cm³; magnetic moment = 0.0 μB/f.u.; space group = No. 225
1.0
0.000 2.813 2.813
2.813 0.000 2.813
2.813 2.813 0.000
Zn Cu C
1 2 1
direct
0.000 0.000 0.000
0.250 0.250 0.250
0.750 0.750 0.750
0.500 0.500 0.500

---

Arrangement B

ZnCu2C, relaxed, DFT PBE-GGA; calculated density = 5.840 g/cm³; magnetic moment = 0.0 μB/f.u.; space group = No. 122
1.0
-2.198 2.198 6.016
2.198 -2.198 6.016
2.198 2.198 -6.016
Zn Cu C
2 4 2
direct
0.000 0.000 0.000
0.750 0.250 0.500
0.279 0.625 0.154
0.375 0.529 0.654
0.471 0.125 0.846
0.875 0.721 0.346
0.250 0.750 0.500
0.500 0.500 0.000

---

arrangement B takes first place; second place is 202 meV per atom up.